VASP calculation (PBE) on a geometry-optimized Ti3GeTe structure.

Formation energy from raw total energies ... 0.78 eV/atom
Size of the total moment ... 0.825 μB/atom
Density of states at the Fermi level ... 5.32 states/eV per cell
Electronic total energy ... -5.5070 eV per atom

abc: 5.0092 5.0092 5.0092
angles: 90.00 90.00 90.00
Last column: nearest neighbours and their distance in Å.
Positions (direct):
Ge 0.5000 0.5000 0.5000  12 Ti 3.54
Ti 0.0000 0.0000 0.5000  2 Te 2.50
Ti 0.5000 0.0000 0.0000  2 Te 2.50
Ti 0.0000 0.5000 0.0000  2 Te 2.50
Te 0.0000 0.0000 0.0000  6 Ti 2.50



VASP calculation (PBE) on a geometry-optimized Ti3Ge5Te12 structure.

Formation energy from raw total energies ... -0.09 eV/atom
Size of the total moment ... 0.136 μB/atom
Density of states at the Fermi level ... 39.46 states/eV per cell
Electronic total energy ... -4.3161 eV per atom

abc: 14.5903 14.5903 14.5903
angles: 109.47 109.47 109.47
Last column: nearest neighbours and their distance in Å.
Positions (direct):
Te 0.3608 0.4127 0.0848  2 Ge 2.68-2.88
Te 0.9152 0.8279 0.7760  2 Ge 2.68-2.88
Te 0.8608 0.2760 0.4481  2 Ge 2.68-2.88
Te 0.9127 0.8279 0.5519  2 Ge 2.68-2.88
Te 0.5848 0.7240 0.6721  2 Ge 2.68-2.88
Te 0.5848 0.8608 0.4127  2 Ge 2.68-2.88
Te 0.1721 0.0873 0.9481  2 Ge 2.68-2.88
Te 0.5873 0.6392 0.4152  2 Ge 2.68-2.88
Te 0.7760 0.3279 0.9152  2 Ge 2.68-2.88
Te 0.4481 0.6721 0.0873  2 Ge 2.68-2.88
Te 0.1392 0.7240 0.5519  2 Ge 2.68-2.88
Te 0.5519 0.3279 0.9127  2 Ge 2.68-2.88
Te 0.3608 0.9481 0.7760  2 Ge 2.68-2.88
Te 0.8279 0.9152 0.2760  2 Ge 2.68-2.88
Te 0.7240 0.1392 0.0519  2 Ge 2.68-2.88
Te 0.0848 0.9127 0.3608  2 Ge 2.68-2.88
Te 0.8608 0.5848 0.9127  2 Ge 2.68-2.88
Te 0.6721 0.2240 0.5848  2 Ge 2.68-2.88
Te 0.4127 0.0519 0.3279  2 Ge 2.68-2.88
Te 0.2760 0.8608 0.9481  2 Ge 2.68-2.88
Te 0.7240 0.5848 0.1721  2 Ge 2.68-2.88
Te 0.0873 0.9152 0.1392  2 Ge 2.68-2.88
Te 0.6392 0.0519 0.2240  2 Ge 2.68-2.88
Te 0.4152 0.2760 0.3279  2 Ge 2.68-2.88
Te 0.3279 0.7760 0.4152  2 Ge 2.68-2.88
Te 0.0873 0.1721 0.4481  2 Ge 2.68-2.88
Te 0.8279 0.9127 0.0519  2 Ge 2.68-2.88
Te 0.2760 0.4152 0.8279  2 Ge 2.68-2.88
Te 0.6721 0.4481 0.5873  2 Ge 2.68-2.88
Te 0.7760 0.4481 0.3608  2 Ge 2.68-2.88
Te 0.5873 0.9481 0.6721  2 Ge 2.68-2.88
Te 0.3279 0.5519 0.4127  2 Ge 2.68-2.88
Te 0.9481 0.3608 0.2760  2 Ge 2.68-2.88
Te 0.4152 0.1392 0.5873  2 Ge 2.68-2.88
Te 0.0519 0.6392 0.7240  2 Ge 2.68-2.88
Te 0.1721 0.0848 0.7240  2 Ge 2.68-2.88
Te 0.5519 0.2240 0.1392  2 Ge 2.68-2.88
Te 0.2240 0.5519 0.6392  2 Ge 2.68-2.88
Te 0.9127 0.0848 0.8608  2 Ge 2.68-2.88
Te 0.0848 0.1721 0.2240  2 Ge 2.68-2.88
Te 0.6392 0.5873 0.9152  2 Ge 2.68-2.88
Te 0.4127 0.3608 0.5848  2 Ge 2.68-2.88
Te 0.9152 0.0873 0.6392  2 Ge 2.68-2.88
Te 0.4481 0.7760 0.8608  2 Ge 2.68-2.88
Te 0.2240 0.6721 0.0848  2 Ge 2.68-2.88
Te 0.9481 0.5873 0.1721  2 Ge 2.68-2.88
Te 0.1392 0.4152 0.0873  2 Ge 2.68-2.88
Te 0.0519 0.4127 0.8279  2 Ge 2.68-2.88
Ge 0.0000 0.5000 0.5000  6 Te 2.88
Ge 0.0000 0.0000 0.5000  6 Te 2.88
Ge 0.2500 0.3750 0.6250  4 Te 2.68
Ge 0.3750 0.1250 0.7500  4 Te 2.68
Ge 0.8750 0.6250 0.7500  4 Te 2.68
Ge 0.2500 0.8750 0.1250  4 Te 2.68
Ge 0.7500 0.6250 0.3750  4 Te 2.68
Ge 0.0000 0.5000 0.0000  6 Te 2.88
Ge 0.1250 0.7500 0.3750  4 Te 2.68
Ge 0.5000 0.0000 0.0000  6 Te 2.88
Ge 0.7500 0.1250 0.8750  4 Te 2.68
Ge 0.1250 0.3750 0.2500  4 Te 2.68
Ge 0.5000 0.5000 0.5000  6 Te 2.88
Ge 0.6250 0.8750 0.2500  4 Te 2.68
Ge 0.3750 0.2500 0.1250  4 Te 2.68
Ge 0.0000 0.0000 0.0000  6 Te 2.88
Ge 0.5000 0.0000 0.5000  6 Te 2.88
Ge 0.6250 0.7500 0.8750  4 Te 2.68
Ge 0.5000 0.5000 0.0000  6 Te 2.88
Ge 0.8750 0.2500 0.6250  4 Te 2.68
Ti 0.1250 0.8750 0.7500  8 Te 3.09-3.12
Ti 0.6250 0.3750 0.7500  8 Te 3.09-3.12
Ti 0.2500 0.6250 0.8750  8 Te 3.09-3.12
Ti 0.6250 0.2500 0.3750  8 Te 3.09-3.12
Ti 0.8750 0.7500 0.1250  8 Te 3.09-3.12
Ti 0.8750 0.1250 0.2500  8 Te 3.09-3.12
Ti 0.2500 0.1250 0.3750  8 Te 3.09-3.12
Ti 0.1250 0.2500 0.8750  8 Te 3.09-3.12
Ti 0.7500 0.3750 0.1250  8 Te 3.09-3.12
Ti 0.7500 0.8750 0.6250  8 Te 3.09-3.12
Ti 0.3750 0.6250 0.2500  8 Te 3.09-3.12
Ti 0.3750 0.7500 0.6250  8 Te 3.09-3.12



VASP calculation (PBE) on a geometry-optimized Ti3GeTe structure.

Formation energy from raw total energies ... 0.26 eV/atom
Size of the total moment ... 0.840 μB/atom
Density of states at the Fermi level ... 6.56 states/eV per cell
Electronic total energy ... -6.0324 eV per atom

abc: 4.8043 4.8043 4.8043
angles: 90.00 90.00 90.00
Last column: nearest neighbours and their distance in Å.
Positions (direct):
Ti 0.0000 0.0000 0.5000  2 Ge 2.40
Ti 0.5000 0.0000 0.0000  2 Ge 2.40
Ti 0.0000 0.5000 0.0000  2 Ge 2.40
Ge 0.0000 0.0000 0.0000  6 Ti 2.40
Te 0.5000 0.5000 0.5000  12 Ti 3.40



VASP calculation (PBE) on a geometry-optimized TiV2GeTe structure.

Formation energy from raw total energies ... 1.10 eV/atom
Size of the total moment ... 0.835 μB/atom
Density of states at the Fermi level ... 8.15 states/eV per cell
Electronic total energy ... -5.6784 eV per atom

abc: 4.6905 5.0469 4.6905
angles: 90.00 90.00 90.00
Last column: nearest neighbours and their distance in Å.
Positions (direct):
Ti 0.0000 0.0000 0.0000  4 V 2.35, 2 Te 2.52
V 0.5000 0.0000 0.0000  2 Ti 2.35
V 0.0000 0.0000 0.5000  2 Ti 2.35
Ge 0.5000 0.5000 0.5000  4 Te 3.32, 8 V 3.44
Te 0.0000 0.5000 0.0000  2 Ti 2.52



VASP calculation (PBE) on a geometry-optimized Tl6GeTe4 structure.

Formation energy from raw total energies ... -0.23 eV/atom
Size of the total moment ... 0.000 μB/atom
Electronic total energy ... -3.0870 eV per atom

abc: 7.2119 11.3275 11.3275
angles: 120.00 90.00 90.00
Last column: nearest neighbours and their distance in Å.
Positions (direct):
Ge 0.2865 0.6667 0.3333  4 Te 2.83-2.94
Ge 0.7865 0.3333 0.6667  4 Te 2.83-2.94
Tl 0.1344 0.0389 0.5194  5 Te 3.39-3.79, 2 Tl 3.69
Tl 0.4172 0.6906 0.8453  4 Te 3.41-3.51
Tl 0.1344 0.4806 0.5194  5 Te 3.39-3.79, 2 Tl 3.69
Tl 0.6344 0.9611 0.4806  5 Te 3.39-3.79, 2 Tl 3.69
Tl 0.9172 0.3094 0.1547  4 Te 3.41-3.51
Tl 0.6344 0.5194 0.0389  5 Te 3.39-3.79, 2 Tl 3.69
Tl 0.6344 0.5194 0.4806  5 Te 3.39-3.79, 2 Tl 3.69
Tl 0.9172 0.8453 0.6906  4 Te 3.41-3.51
Tl 0.4172 0.1547 0.8453  4 Te 3.41-3.51
Tl 0.1344 0.4806 0.9611  5 Te 3.39-3.79, 2 Tl 3.69
Tl 0.4172 0.1547 0.3094  4 Te 3.41-3.51
Tl 0.9172 0.8453 0.1547  4 Te 3.41-3.51
Te 0.8854 0.1878 0.3755  1 Ge 2.94
Te 0.3854 0.8122 0.6245  1 Ge 2.94
Te 0.3854 0.3755 0.1878  1 Ge 2.94
Te 0.8854 0.1878 0.8122  1 Ge 2.94
Te 0.8947 0.6667 0.3333  1 Ge 2.83
Te 0.3947 0.3333 0.6667  1 Ge 2.83
Te 0.3854 0.8122 0.1878  1 Ge 2.94
Te 0.8854 0.6245 0.8122  1 Ge 2.94



VASP calculation (PBE) on a geometry-optimized Tl2GeTe4 structure.

Formation energy from raw total energies ... -0.01 eV/atom
Size of the total moment ... 0.000 μB/atom
Density of states at the Fermi level ... 3.05 states/eV per cell
Electronic total energy ... -3.1414 eV per atom

abc: 6.6408 6.6408 7.1178
angles: 115.89 115.89 93.67
Last column: nearest neighbours and their distance in Å.
Positions (direct):
Te 0.3270 0.1994 0.5264  1 Ge 2.89, 2 Tl 2.99
Te 0.8006 0.6730 0.4736  1 Ge 2.89, 2 Tl 2.99
Te 0.6359 0.8376 0.0000  1 Ge 2.78, 2 Tl 3.04
Te 0.1624 0.3641 0.0000  1 Ge 2.78, 2 Tl 3.04
Tl 0.7645 0.2355 0.5000  4 Te 2.99-3.04
Tl 0.2645 0.7355 0.5000  4 Te 2.99-3.04
Ge 0.0449 0.9551 0.0000  4 Te 2.78-2.89



VASP calculation (PBE) on a geometry-optimized TlGe2Te2 structure.

Formation energy from raw total energies ... 0.05 eV/atom
Size of the total moment ... 0.000 μB/atom
Density of states at the Fermi level ... 6.13 states/eV per cell
Electronic total energy ... -3.5255 eV per atom

abc: 8.2320 8.2320 7.0987
angles: 118.57 118.57 99.29
Last column: nearest neighbours and their distance in Å.
Positions (direct):
Ge 0.7663 0.9950 0.5164  1 Ge 2.55
Ge 0.5050 0.7337 0.9836  1 Ge 2.55
Ge 0.2337 0.0050 0.4836  1 Ge 2.55
Ge 0.4950 0.2663 0.0164  1 Ge 2.55
Te 0.8502 0.6498 0.2500  4 Ge 2.94-2.98
Te 0.1498 0.3502 0.7500  4 Ge 2.94-2.98
Te 0.3941 0.1059 0.2500  2 Ge 2.87
Te 0.6059 0.8941 0.7500  2 Ge 2.87
Tl 0.1278 0.3722 0.2500  6 Te 3.34-3.62, 2 Ge 3.51
Tl 0.8722 0.6278 0.7500  6 Te 3.34-3.62, 2 Ge 3.51



VASP calculation (PBE) on a geometry-optimized TlGe2Te4 structure.

Formation energy from raw total energies ... 0.02 eV/atom
Size of the total moment ... 0.000 μB/atom
Density of states at the Fermi level ... 10.92 states/eV per cell
Electronic total energy ... -3.4296 eV per atom

abc: 8.7669 8.7668 8.7410
angles: 119.99 119.99 90.22
Last column: nearest neighbours and their distance in Å.
Positions (direct):
Te 0.3868 0.6122 0.7724  1 Tl 2.93, 3 Ge 2.95-2.96
Te 0.3851 0.1603 0.7724  1 Tl 2.93, 3 Ge 2.96
Te 0.8400 0.6148 0.2279  1 Tl 2.93, 3 Ge 2.96
Te 0.3878 0.6129 0.2274  1 Tl 2.93, 3 Ge 2.95-2.96
Te 0.4103 0.1352 0.2724  1 Tl 2.93, 3 Ge 2.96
Te 0.8628 0.1377 0.7273  1 Tl 2.93, 3 Ge 2.95-2.96
Te 0.8648 0.5900 0.7280  1 Tl 2.93, 3 Ge 2.96
Te 0.8622 0.1367 0.2723  1 Tl 2.93, 3 Ge 2.95-2.96
Tl 0.2502 0.7501 0.5000  4 Te 2.93
Tl 0.0001 0.0002 0.0000  4 Te 2.93
Ge 0.6252 0.3750 0.2502  6 Te 2.96
Ge 0.6250 0.3752 0.7502  6 Te 2.96
Ge 0.6250 0.8748 0.2498  6 Te 2.95-2.96
Ge 0.1248 0.3750 0.7498  6 Te 2.95-2.96